[1]
A plane-wave DFT calculation with PBEsol was carried out for a relaxed structure of AgW2Br.

Lattice parameters (Å, degrees): 3.8069 3.8069 9.5915 90.00 90.00 90.00
Space group I4/mmm (No. 139)
Symmetry-distinct sites (fractional):
Ag: 0.0000 0.0000 0.0000 [2 per cell]
W: 0.0000 0.5000 0.2500 [4 per cell]
Br: 0.0000 0.0000 0.5000 [2 per cell]

ΔE to the lowest computed polymorph	788	meV/atom
raw formation energy	1.37	eV per atom
N(E_F)	0.760	states/eV/atom

---

[2]
A plane-wave DFT calculation with PBEsol was carried out for a relaxed structure of ZnP.

Lattice parameters (Å, degrees): 3.4390 3.4390 2.5225 90.00 90.00 90.00
Space group P4/mmm (No. 123)
Symmetry-distinct sites (fractional):
Zn: 0.0000 0.0000 0.0000 [1 per cell]
P: 0.5000 0.5000 0.5000 [1 per cell]

energy of formation	283	meV/atom
N(E_F)	0.409	states/eV/atom

---

[3]
A plane-wave DFT calculation with PBEsol was carried out for a relaxed structure of CaZr2.

Lattice parameters (Å, degrees): 3.2051 4.4019 10.9400 90.00 90.00 90.00
Space group Immm (No. 71)
Symmetry-distinct sites (fractional):
Ca: 0.0000 0.0000 0.0000 [2 per cell]
Zr: 0.0000 0.0000 0.3084 [4 per cell]

energy of formation	287	meV/atom
N(E_F)	1.217	states/eV/atom

---

[4]
A plane-wave DFT calculation with PBEsol was carried out for a relaxed structure of V2NiS4.

Lattice parameters (Å, degrees): 11.9341 3.1725 5.7551 90.00 115.78 90.00
Space group C2/m (No. 12)
Symmetry-distinct sites (fractional):
V: 0.2412 0.0000 0.1900 [4 per cell]
Ni: 0.0000 0.5000 0.5000 [2 per cell]
S: 0.1045 0.5000 0.9444 [4 per cell]
S: 0.1385 0.0000 0.4783 [4 per cell]

raw formation energy	-0.92	eV per atom
N(E_F)	0.725	states/eV/atom

---

[5]
A plane-wave DFT calculation with PBEsol was carried out for a relaxed structure of CdCu.

Lattice parameters (Å, degrees): 2.8250 4.2344 5.3611 90.00 104.75 90.00
Space group P2_1/m (No. 11)
Symmetry-distinct sites (fractional):
Cd: 0.1627 0.2500 0.3310 [2 per cell]
Cu: 0.4372 0.2500 0.8732 [2 per cell]

energy of formation	51	meV/atom
N(E_F)	0.251	states/eV/atom

---

[6]
A plane-wave DFT calculation with PBEsol was carried out for a relaxed structure of LaTe2PtN.

Lattice parameters (Å, degrees): 5.5511 5.5511 3.7911 90.00 90.00 90.00
Space group P4/mmm (No. 123)
Symmetry-distinct sites (fractional):
La: 0.0000 0.0000 0.0000 [1 per cell]
Te: 0.0000 0.5000 0.5000 [2 per cell]
Pt: 0.5000 0.5000 0.5000 [1 per cell]
N: 0.5000 0.5000 0.0000 [1 per cell]

raw formation energy	-0.35	eV per atom
N(E_F)	0.413	states/eV/atom